# MnTcIr2

MnTcIr2 at its PBEsol-relaxed geometry (SCAN, Alexandria).

a = 4.619 Å, b = 4.619 Å, c = 4.608 Å
α = 99.55°, β = 99.55°, γ = 33.63°
Element x y z (fractional)
Mn1 0.000 0.000 0.000
Tc1 0.500 0.500 0.500
Ir1 0.251 0.251 0.752
Ir2 0.749 0.749 0.248

Computed properties:
E above lowest polymorph (eV per atom): 0.098
Calculated density (g/cm3): 16.6
DFT formation energy (eV per atom): -0.264
Crystal system: monoclinic

=====

# KBS4Cl4O12

KBS4Cl4O12 at its PBEsol-relaxed geometry (SCAN, Alexandria).

a = 10.996 Å, b = 10.996 Å, c = 10.680 Å
α = 96.93°, β = 96.93°, γ = 136.82°
Element x y z (fractional)
K1 0.080 0.920 0.500
K2 0.920 0.080 0.000
B1 0.309 0.554 0.596
B2 0.554 0.309 0.096
S1 0.046 0.234 0.393
S2 0.179 0.476 0.806
S3 0.234 0.046 0.893
S4 0.372 0.827 0.542
S5 0.476 0.179 0.306
S6 0.640 0.684 0.647
S7 0.684 0.640 0.147
S8 0.827 0.372 0.042
Cl1 0.075 0.777 0.868
Cl2 0.091 0.600 0.159
Cl3 0.386 0.736 0.938
Cl4 0.482 0.569 0.213
Cl5 0.569 0.482 0.713
Cl6 0.600 0.091 0.659
Cl7 0.736 0.386 0.438
Cl8 0.777 0.075 0.368
O1 0.039 0.453 0.740
O2 0.074 0.249 0.266
O3 0.089 0.163 0.467
O4 0.133 0.351 0.877
O5 0.140 0.423 0.480
O6 0.163 0.089 0.967
O7 0.216 0.791 0.529
O8 0.249 0.074 0.766
O9 0.280 0.485 0.711
O10 0.351 0.133 0.377
O11 0.365 0.725 0.635
O12 0.412 0.800 0.425
O13 0.423 0.140 0.980
O14 0.450 0.582 0.555
O15 0.453 0.039 0.240
O16 0.485 0.280 0.211
O17 0.582 0.450 0.055
O18 0.710 0.827 0.759
O19 0.725 0.365 0.135
O20 0.729 0.753 0.064
O21 0.753 0.729 0.564
O22 0.791 0.216 0.029
O23 0.800 0.412 0.925
O24 0.827 0.710 0.259

Computed properties:
Calculated density (g/cm3): 2.0
Formation energy (no corrections) (eV/atom): -1.41
Crystal system: monoclinic

=====

# CsTb2Cl7

CsTb2Cl7 at its PBEsol-relaxed geometry (SCAN, Alexandria).

a = 13.554 Å, b = 6.914 Å, c = 12.538 Å
α = 90.00°, β = 90.00°, γ = 90.00°
Element x y z (fractional)
Cs1 0.038 0.250 0.202
Cs2 0.462 0.750 0.702
Cs3 0.538 0.250 0.298
Cs4 0.962 0.750 0.798
Tb1 0.241 0.250 0.547
Tb2 0.247 0.250 0.852
Tb3 0.253 0.750 0.352
Tb4 0.259 0.750 0.047
Tb5 0.741 0.250 0.953
Tb6 0.747 0.250 0.648
Tb7 0.753 0.750 0.148
Tb8 0.759 0.750 0.453
Cl1 0.111 0.750 0.198
Cl2 0.127 0.009 0.432
Cl3 0.127 0.491 0.432
Cl4 0.131 0.009 0.967
Cl5 0.131 0.491 0.967
Cl6 0.180 0.007 0.701
Cl7 0.180 0.493 0.701
Cl8 0.320 0.507 0.201
Cl9 0.320 0.993 0.201
Cl10 0.369 0.509 0.467
Cl11 0.369 0.991 0.467
Cl12 0.373 0.509 0.932
Cl13 0.373 0.991 0.932
Cl14 0.389 0.250 0.698
Cl15 0.611 0.750 0.302
Cl16 0.627 0.009 0.068
Cl17 0.627 0.491 0.068
Cl18 0.631 0.009 0.533
Cl19 0.631 0.491 0.533
Cl20 0.680 0.007 0.799
Cl21 0.680 0.493 0.799
Cl22 0.820 0.507 0.299
Cl23 0.820 0.993 0.299
Cl24 0.869 0.509 0.033
Cl25 0.869 0.991 0.033
Cl26 0.873 0.509 0.568
Cl27 0.873 0.991 0.568
Cl28 0.889 0.250 0.802

Computed properties:
Calculated density (g/cm3): 4.0
Formation energy (no corrections) (eV/atom): -2.53
Crystal system: orthorhombic

=====

# SnBi2Mo

SnBi2Mo at its PBEsol-relaxed geometry (SCAN, Alexandria).

a = 8.108 Å, b = 8.108 Å, c = 8.108 Å
α = 132.38°, β = 132.38°, γ = 69.63°
Element x y z (fractional)
Sn1 0.000 0.000 0.000
Sn2 0.750 0.250 0.500
Bi1 0.165 0.625 0.040
Bi2 0.375 0.415 0.540
Bi3 0.585 0.125 0.960
Bi4 0.875 0.835 0.460
Mo1 0.250 0.750 0.500
Mo2 0.500 0.500 0.000

Computed properties:
Calculated density (g/cm3): 7.4
DFT formation energy (eV per atom): 0.772
Crystal system: tetragonal

=====

# Zr2ReTc

Zr2ReTc at its PBEsol-relaxed geometry (SCAN, Alexandria).

a = 5.500 Å, b = 5.500 Å, c = 5.500 Å
α = 145.99°, β = 131.25°, γ = 60.77°
Element x y z (fractional)
Zr1 0.000 0.000 0.000
Zr2 0.734 0.234 0.500
Re1 0.255 0.755 0.500
Tc1 0.482 0.482 0.000

Computed properties:
Calculated density (g/cm3): 11.2
DFT formation energy (eV per atom): -0.345
Crystal system: orthorhombic

=====

# Li2IrRu

Li2IrRu at its PBEsol-relaxed geometry (SCAN, Alexandria).

a = 2.747 Å, b = 2.747 Å, c = 7.267 Å
α = 90.00°, β = 90.00°, γ = 90.00°
Element x y z (fractional)
Li1 0.000 0.000 0.000
Li2 0.500 0.500 0.273
Ir1 0.500 0.500 0.756
Ru1 0.000 0.000 0.526

Computed properties:
E above lowest polymorph (eV per atom): 0.000
Calculated density (g/cm3): 9.3
DFT formation energy (eV per atom): -0.024
Crystal system: tetragonal

=====

# Li2MgHg

Li2MgHg at its PBEsol-relaxed geometry (SCAN, Alexandria).

a = 4.178 Å, b = 4.178 Å, c = 4.153 Å
α = 90.00°, β = 90.00°, γ = 90.00°
Element x y z (fractional)
Li1 0.000 0.500 0.000
Li2 0.500 0.000 0.000
Mg1 0.000 0.000 0.500
Hg1 0.500 0.500 0.500

Computed properties:
E above lowest polymorph (eV per atom): 0.071
Calculated density (g/cm3): 5.5
DFT formation energy (eV per atom): -0.346
Crystal system: tetragonal

=====

# Li2La2Si3

Li2La2Si3 at its PBEsol-relaxed geometry (SCAN, Alexandria).

a = 9.576 Å, b = 9.576 Å, c = 6.833 Å
α = 90.00°, β = 90.00°, γ = 153.04°
Element x y z (fractional)
Li1 0.187 0.813 0.561
Li2 0.187 0.813 0.939
Li3 0.813 0.187 0.061
Li4 0.813 0.187 0.439
La1 0.340 0.660 0.750
La2 0.449 0.551 0.250
La3 0.551 0.449 0.750
La4 0.660 0.340 0.250
Si1 0.057 0.943 0.076
Si2 0.057 0.943 0.424
Si3 0.280 0.720 0.250
Si4 0.720 0.280 0.750
Si5 0.943 0.057 0.576
Si6 0.943 0.057 0.924

Computed properties:
Calculated density (g/cm3): 4.4
Formation energy (no corrections) (eV/atom): -0.67
Crystal system: orthorhombic

=====

# CrCdTc

CrCdTc at its PBEsol-relaxed geometry (SCAN, Alexandria).

a = 4.261 Å, b = 4.261 Å, c = 4.261 Å
α = 60.00°, β = 60.00°, γ = 60.00°
Element x y z (fractional)
Cr1 0.000 0.000 0.000
Cd1 0.500 0.500 0.500
Tc1 0.750 0.750 0.750

Computed properties:
E above lowest polymorph (eV per atom): 0.462
Calculated density (g/cm3): 8.0
DFT formation energy (eV per atom): 0.839
Crystal system: cubic

=====

# NbNF2

NbNF2 at its PBEsol-relaxed geometry (SCAN, Alexandria).

a = 9.172 Å, b = 9.172 Å, c = 9.172 Å
α = 17.86°, β = 17.86°, γ = 17.86°
Element x y z (fractional)
Nb1 0.000 0.000 0.000
N1 0.500 0.500 0.500
F1 0.388 0.388 0.388
F2 0.612 0.612 0.612

Computed properties:
E above lowest polymorph (eV per atom): 0.170
Calculated density (g/cm3): 3.8
Formation energy (no corrections) (eV/atom): -0.54
Crystal system: trigonal

=====

# LiSbTe4

LiSbTe4 at its PBEsol-relaxed geometry (SCAN, Alexandria).

a = 6.292 Å, b = 6.292 Å, c = 6.292 Å
α = 60.00°, β = 60.00°, γ = 60.00°
Element x y z (fractional)
Li1 0.000 0.000 0.000
Sb1 0.250 0.250 0.250
Te1 0.126 0.625 0.625
Te2 0.625 0.126 0.625
Te3 0.625 0.625 0.126
Te4 0.625 0.625 0.625

Computed properties:
Calculated density (g/cm3): 6.0
Formation energy (no corrections) (eV/atom): 0.33
Crystal system: cubic

=====

# CaMgPb2

CaMgPb2 at its PBEsol-relaxed geometry (SCAN, Alexandria).

a = 6.834 Å, b = 6.834 Å, c = 7.547 Å
α = 90.00°, β = 90.00°, γ = 140.12°
Element x y z (fractional)
Ca1 0.057 0.943 0.750
Ca2 0.943 0.057 0.250
Mg1 0.212 0.788 0.250
Mg2 0.788 0.212 0.750
Pb1 0.379 0.621 0.537
Pb2 0.379 0.621 0.963
Pb3 0.621 0.379 0.037
Pb4 0.621 0.379 0.463

Computed properties:
Calculated density (g/cm3): 7.0
DFT formation energy (eV per atom): -0.441
Crystal system: orthorhombic